The following is a PBE calculation of a relaxed structure of AcTb2Pr7, from the Alexandria database.

Output
ρ (g cm⁻³): 5.8
M_tot (Bohr magnetons per cell): 0.00
DFT formation energy (meV per atom): 595

a b c (Å): 5.8927 9.3190 9.3190
angles (deg): 121.66 90.00 90.00
Closest atoms and distances in Å follow each position.
Element x y z (fractional)
Ac1 0.0000 0.0000 0.0000  10 Pr 3.87-3.89
Tb1 0.5000 0.7025 0.2975  7 Pr 3.10-3.34
Tb2 0.5000 0.2975 0.7025  7 Pr 3.10-3.34
Pr1 0.0000 0.7622 0.2378  2 Tb 3.10
Pr2 0.0000 0.2378 0.7622  2 Tb 3.10
Pr3 0.5000 0.0618 0.2998  2 Tb 3.20-3.34, 2 Pr 3.29-3.49
Pr4 0.5000 0.9382 0.7002  2 Tb 3.20-3.34, 2 Pr 3.29-3.49
Pr5 0.5000 0.2998 0.0618  2 Tb 3.20-3.34, 2 Pr 3.29-3.49
Pr6 0.5000 0.7002 0.9382  2 Tb 3.20-3.34, 2 Pr 3.29-3.49
Pr7 0.5000 0.5000 0.5000  2 Tb 3.30, 4 Pr 3.49